An optimized crystal structure of SmThTl, computed with PBE-GGA.

Calculated values
electronic total energy	-4.91	eV per atom
offset from the most stable computed form	82	meV per atom
formation energy from the elements	-0.076	eV per atom
size of the total moment	0.00	μB per cell

Lattice parameters (Å, degrees): 4.1317 4.1317 6.0154 110.09 110.09 90.00
Closest atoms and distances in Å follow each position.
Atoms (fractional coordinates):
Sm1 0.6072 0.6072 0.2144  5 Tl 3.34-3.65, 5 Th 3.35-3.49
Th1 0.2887 0.2887 0.5775  5 Sm 3.35-3.49, 5 Tl 3.40-3.52
Tl1 0.9540 0.9540 0.9081  5 Sm 3.34-3.65, 5 Th 3.40-3.52

---

An optimized crystal structure of Sm5ThTl8, computed with PBE-GGA.

Calculated values
electronic total energy	-3.80	eV per atom
formation energy from the elements	-0.235	eV per atom
size of the total moment	0.00	μB per cell

Lattice parameters (Å, degrees): 8.1698 8.1698 8.1698 109.78 108.86 109.78
Closest atoms and distances in Å follow each position.
Atoms (fractional coordinates):
Tl1 0.2905 0.2473 0.3704  5 Sm 3.24-3.28, 1 Th 3.28, 3 Tl 3.45-3.62
Tl2 0.4669 0.5847 0.2157  5 Sm 3.24-3.28, 1 Th 3.34, 3 Tl 3.48-3.62
Tl3 0.6310 0.4153 0.8821  5 Sm 3.24-3.28, 1 Th 3.34, 3 Tl 3.48-3.62
Tl4 0.1231 0.7527 0.0432  5 Sm 3.24-3.28, 1 Th 3.28, 3 Tl 3.45-3.62
Tl5 0.6296 0.9201 0.8769  5 Sm 3.24-3.28, 1 Th 3.28, 3 Tl 3.45-3.62
Tl6 0.1179 0.7488 0.5331  5 Sm 3.24-3.28, 1 Th 3.34, 3 Tl 3.48-3.62
Tl7 0.9568 0.0799 0.7095  5 Sm 3.24-3.28, 1 Th 3.28, 3 Tl 3.45-3.62
Tl8 0.7843 0.2512 0.3690  5 Sm 3.24-3.28, 1 Th 3.34, 3 Tl 3.48-3.62
Th1 0.2500 0.5000 0.7500  8 Tl 3.28-3.34
Sm1 0.3705 0.1195 0.9938  8 Tl 3.24-3.28
Sm2 0.7489 0.6233 0.6295  8 Tl 3.24-3.28
Sm3 0.5000 0.0000 0.5000  8 Tl 3.26-3.28
Sm4 0.8743 0.8805 0.2511  8 Tl 3.24-3.28
Sm5 0.0062 0.3767 0.1257  8 Tl 3.24-3.28

---

An optimized crystal structure of Sm3ThTl2, computed with PBE-GGA.

Calculated values
electronic total energy	-4.63	eV per atom
formation energy from the elements	-0.249	eV per atom
size of the total moment	0.00	μB per cell

Lattice parameters (Å, degrees): 3.6693 3.6693 13.3656 90.00 90.00 90.00
Closest atoms and distances in Å follow each position.
Atoms (fractional coordinates):
Sm1 0.0000 0.0000 0.3205  4 Tl 3.36, 4 Th 3.53, 4 Sm 3.67
Sm2 0.0000 0.0000 0.6795  4 Tl 3.36, 4 Th 3.53, 4 Sm 3.67
Sm3 0.0000 0.0000 0.0000  8 Tl 3.37, 4 Sm 3.67
Th1 0.5000 0.5000 0.5000  8 Sm 3.53, 4 Th 3.67
Tl1 0.5000 0.5000 0.8389  8 Sm 3.36-3.37, 4 Tl 3.67
Tl2 0.5000 0.5000 0.1611  8 Sm 3.36-3.37, 4 Tl 3.67

---

An optimized crystal structure of Sm2ThTl, computed with PBE-GGA.

Calculated values
electronic total energy	-4.88	eV per atom
offset from the most stable computed form	107	meV per atom
formation energy from the elements	-0.078	eV per atom
size of the total moment	0.00	μB per cell

Lattice parameters (Å, degrees): 3.6286 3.6286 11.3150 80.77 80.77 60.00
Closest atoms and distances in Å follow each position.
Atoms (fractional coordinates):
Tl1 0.6665 0.6665 0.0005  6 Sm 3.36-3.38, 6 Tl 3.63
Sm1 0.2543 0.2543 0.2372  3 Tl 3.36, 3 Th 3.60, 6 Sm 3.63
Sm2 0.0793 0.0793 0.7622  3 Tl 3.38, 3 Th 3.59, 6 Sm 3.63
Th1 0.5000 0.5000 0.5001  6 Sm 3.59-3.60, 6 Th 3.63

---

An optimized crystal structure of Sm4ThTl5, computed with PBE-GGA.

Calculated values
electronic total energy	-4.14	eV per atom
formation energy from the elements	-0.329	eV per atom
size of the total moment	0.00	μB per cell

Lattice parameters (Å, degrees): 3.6858 3.6858 21.2376 90.00 90.00 90.00
Closest atoms and distances in Å follow each position.
Atoms (fractional coordinates):
Sm1 0.0000 0.0000 0.5992  8 Tl 3.34-3.35, 4 Sm 3.69
Sm2 0.0000 0.0000 0.4008  8 Tl 3.34-3.35, 4 Sm 3.69
Sm3 0.0000 0.0000 0.7976  8 Tl 3.34-3.36, 4 Sm 3.69
Sm4 0.0000 0.0000 0.2024  8 Tl 3.34-3.36, 4 Sm 3.69
Tl1 0.5000 0.5000 0.3023  8 Sm 3.34-3.36, 4 Tl 3.69
Tl2 0.5000 0.5000 0.8956  4 Sm 3.34, 4 Th 3.42, 4 Tl 3.69
Tl3 0.5000 0.5000 0.6977  8 Sm 3.34-3.36, 4 Tl 3.69
Tl4 0.5000 0.5000 0.1044  4 Sm 3.34, 4 Th 3.42, 4 Tl 3.69
Tl5 0.5000 0.5000 0.5000  8 Sm 3.35, 4 Tl 3.69
Th1 0.0000 0.0000 0.0000  8 Tl 3.42, 4 Th 3.69

---

An optimized crystal structure of Sm5ThTl4, computed with PBE-GGA.

Calculated values
electronic total energy	-4.35	eV per atom
formation energy from the elements	-0.304	eV per atom
size of the total moment	0.00	μB per cell

Lattice parameters (Å, degrees): 3.6182 3.6182 22.4149 90.00 90.00 90.00
Closest atoms and distances in Å follow each position.
Atoms (fractional coordinates):
Tl1 0.0000 0.0000 0.5979  8 Sm 3.37, 4 Tl 3.62
Tl2 0.0000 0.0000 0.2063  8 Sm 3.37-3.38, 4 Tl 3.62
Tl3 0.0000 0.0000 0.7937  8 Sm 3.37-3.38, 4 Tl 3.62
Tl4 0.0000 0.0000 0.4021  8 Sm 3.37, 4 Tl 3.62
Sm1 0.5000 0.5000 0.1086  4 Tl 3.37, 4 Th 3.53, 4 Sm 3.62
Sm2 0.5000 0.5000 0.6955  8 Tl 3.37-3.38, 4 Sm 3.62
Sm3 0.5000 0.5000 0.8914  4 Tl 3.37, 4 Th 3.53, 4 Sm 3.62
Sm4 0.5000 0.5000 0.3045  8 Tl 3.37-3.38, 4 Sm 3.62
Sm5 0.5000 0.5000 0.5000  8 Tl 3.37, 4 Sm 3.62
Th1 0.0000 0.0000 0.0000  8 Sm 3.53, 4 Th 3.62

---

An optimized crystal structure of Sm5Tm4Th, computed with PBE-GGA.

Calculated values
electronic total energy	-4.85	eV per atom
offset from the most stable computed form	0	meV per atom
formation energy from the elements	0.041	eV per atom
size of the total moment	0.00	μB per cell

Lattice parameters (Å, degrees): 3.5243 11.4414 11.9873 136.81 98.45 90.00
Closest atoms and distances in Å follow each position.
Atoms (fractional coordinates):
Tm1 0.0815 0.3673 0.1630  4 Tm 3.47-3.52, 6 Sm 3.51-3.86, 2 Th 3.54
Tm2 0.9185 0.6327 0.8370  4 Tm 3.47-3.52, 6 Sm 3.51-3.86, 2 Th 3.54
Tm3 0.6049 0.9114 0.2098  6 Sm 3.30-3.56, 1 Th 3.31, 4 Tm 3.47-3.52
Tm4 0.3951 0.0886 0.7902  6 Sm 3.30-3.56, 1 Th 3.31, 4 Tm 3.47-3.52
Sm1 0.2041 0.2950 0.4083  6 Sm 3.52-3.85, 5 Tm 3.56-3.86, 2 Th 3.72
Sm2 0.7959 0.7050 0.5917  6 Sm 3.52-3.85, 5 Tm 3.56-3.86, 2 Th 3.72
Sm3 0.5000 0.5000 0.0000  6 Tm 3.33-3.67, 6 Sm 3.52
Sm4 0.8101 0.2005 0.6202  4 Tm 3.30-3.55, 6 Sm 3.52-3.61
Sm5 0.1899 0.7995 0.3798  4 Tm 3.30-3.55, 6 Sm 3.52-3.61
Th1 0.5000 0.0000 0.0000  6 Tm 3.31-3.54, 2 Th 3.52

---

An optimized crystal structure of SmTmTh2, computed with PBE-GGA.

Calculated values
electronic total energy	-5.81	eV per atom
offset from the most stable computed form	163	meV per atom
formation energy from the elements	0.193	eV per atom
size of the total moment	0.00	μB per cell

Lattice parameters (Å, degrees): 3.4797 3.4797 12.5657 82.04 82.04 60.00
Closest atoms and distances in Å follow each position.
Atoms (fractional coordinates):
Tm1 0.5000 0.5000 0.5000  6 Tm 3.48, 6 Th 3.54
Th1 0.0882 0.0882 0.7354  1 Sm 3.28, 6 Th 3.48, 3 Tm 3.54
Th2 0.9118 0.9118 0.2646  1 Sm 3.28, 6 Th 3.48, 3 Tm 3.54
Sm1 0.0000 0.0000 0.0000  2 Th 3.28, 6 Sm 3.48

---

An optimized crystal structure of SmTm9Th2, computed with PBE-GGA.

Calculated values
electronic total energy	-4.88	eV per atom
offset from the most stable computed form	73	meV per atom
formation energy from the elements	0.105	eV per atom
size of the total moment	0.00	μB per cell

Lattice parameters (Å, degrees): 3.4727 11.2274 11.2274 120.00 90.00 90.00
Closest atoms and distances in Å follow each position.
Atoms (fractional coordinates):
Sm1 0.0000 0.0000 0.0000  2 Sm 3.47, 12 Tm 3.83
Tm1 0.5000 0.1754 0.3508  8 Tm 3.41-3.61, 2 Th 3.53
Tm2 0.5000 0.1754 0.8246  8 Tm 3.41-3.61, 2 Th 3.53
Tm3 0.0000 0.0000 0.5000  2 Th 3.24, 10 Tm 3.47-3.61
Tm4 0.5000 0.6492 0.8246  8 Tm 3.41-3.61, 2 Th 3.53
Tm5 0.0000 0.5000 0.5000  2 Th 3.24, 10 Tm 3.47-3.61
Tm6 0.5000 0.8246 0.6492  8 Tm 3.41-3.61, 2 Th 3.53
Tm7 0.5000 0.3508 0.1754  8 Tm 3.41-3.61, 2 Th 3.53
Tm8 0.0000 0.5000 0.0000  2 Th 3.24, 10 Tm 3.47-3.61
Tm9 0.5000 0.8246 0.1754  8 Tm 3.41-3.61, 2 Th 3.53
Th1 0.0000 0.3333 0.6667  9 Tm 3.24-3.53, 2 Th 3.47
Th2 0.0000 0.6667 0.3333  9 Tm 3.24-3.53, 2 Th 3.47

---

An optimized crystal structure of Sm2TmTh3, computed with PBE-GGA.

Calculated values
electronic total energy	-5.84	eV per atom
formation energy from the elements	0.191	eV per atom
size of the total moment	0.00	μB per cell

Lattice parameters (Å, degrees): 6.7449 11.3611 7.6540 137.92 90.00 90.00
Closest atoms and distances in Å follow each position.
Atoms (fractional coordinates):
Tm1 0.7500 0.7712 0.0000  6 Sm 3.42-3.81, 6 Th 3.51-3.53
Tm2 0.2500 0.2288 0.0000  6 Sm 3.42-3.81, 6 Th 3.51-3.53
Th1 0.0000 0.1656 0.3312  4 Th 3.37-3.43, 4 Sm 3.50-3.55, 2 Tm 3.53
Th2 0.0000 0.5000 0.0000  4 Th 3.37-3.43, 2 Tm 3.51, 4 Sm 3.55
Th3 0.5000 0.8344 0.6688  4 Th 3.37-3.43, 4 Sm 3.50-3.55, 2 Tm 3.53
Th4 0.5000 0.5000 0.0000  4 Th 3.37-3.43, 2 Tm 3.51, 4 Sm 3.55
Th5 0.0000 0.8344 0.6688  4 Th 3.37-3.43, 4 Sm 3.50-3.55, 2 Tm 3.53
Th6 0.5000 0.1656 0.3312  4 Th 3.37-3.43, 4 Sm 3.50-3.55, 2 Tm 3.53
Sm1 0.2500 0.8973 0.3342  3 Tm 3.42-3.81, 3 Sm 3.43-3.80, 6 Th 3.50-3.55
Sm2 0.2500 0.5631 0.6658  3 Tm 3.42-3.81, 3 Sm 3.43-3.80, 6 Th 3.50-3.55
Sm3 0.7500 0.1027 0.6658  3 Tm 3.42-3.81, 3 Sm 3.43-3.80, 6 Th 3.50-3.55
Sm4 0.7500 0.4369 0.3342  3 Tm 3.42-3.81, 3 Sm 3.43-3.80, 6 Th 3.50-3.55

---

An optimized crystal structure of SmTm6Th4, computed with PBE-GGA.

Calculated values
electronic total energy	-5.40	eV per atom
offset from the most stable computed form	0	meV per atom
formation energy from the elements	0.168	eV per atom
size of the total moment	0.00	μB per cell

Lattice parameters (Å, degrees): 3.4066 5.8124 18.0939 99.24 95.40 90.00
Closest atoms and distances in Å follow each position.
Atoms (fractional coordinates):
Tm1 0.4033 0.9033 0.8066  6 Tm 3.41-3.59, 4 Th 3.44-3.49
Tm2 0.7670 0.2670 0.5340  7 Tm 3.41-3.61, 4 Th 3.42-3.46
Tm3 0.8685 0.3685 0.7370  7 Tm 3.41-3.61, 4 Th 3.42-3.52
Tm4 0.5967 0.0967 0.1934  6 Tm 3.41-3.59, 4 Th 3.44-3.49
Tm5 0.1315 0.6315 0.2630  7 Tm 3.41-3.61, 4 Th 3.42-3.52
Tm6 0.2330 0.7330 0.4660  7 Tm 3.41-3.61, 4 Th 3.42-3.46
Th1 0.8177 0.8177 0.6354  2 Th 3.41, 8 Tm 3.42-3.49
Th2 0.1823 0.1823 0.3646  2 Th 3.41, 8 Tm 3.42-3.49
Th3 0.4553 0.4553 0.9106  3 Th 3.18-3.41, 4 Tm 3.44-3.52
Th4 0.5447 0.5447 0.0894  3 Th 3.18-3.41, 4 Tm 3.44-3.52
Sm1 0.0000 0.0000 0.0000  2 Sm 3.41, 8 Th 3.73

---

An optimized crystal structure of Sm3Tm4Th2, computed with PBE-GGA.

Calculated values
electronic total energy	-5.20	eV per atom
offset from the most stable computed form	0	meV per atom
formation energy from the elements	0.007	eV per atom
size of the total moment	0.00	μB per cell

Lattice parameters (Å, degrees): 3.5884 9.5028 9.4949 115.32 100.89 90.00
Closest atoms and distances in Å follow each position.
Atoms (fractional coordinates):
Th1 0.6681 0.0031 0.3363  5 Sm 3.47-3.60, 3 Tm 3.50-3.55, 4 Th 3.56-3.59
Th2 0.3319 0.9969 0.6637  5 Sm 3.47-3.60, 3 Tm 3.50-3.55, 4 Th 3.56-3.59
Sm1 0.8513 0.3297 0.7025  3 Th 3.47-3.52, 7 Tm 3.55-3.60, 2 Sm 3.59
Sm2 0.0000 0.0000 0.0000  6 Tm 3.51, 2 Sm 3.59, 4 Th 3.60
Sm3 0.1487 0.6703 0.2975  3 Th 3.47-3.52, 7 Tm 3.55-3.60, 2 Sm 3.59
Tm1 0.8156 0.6675 0.6313  2 Th 3.50, 4 Sm 3.51-3.60, 6 Tm 3.54-3.59
Tm2 0.5186 0.3317 0.0372  6 Sm 3.51-3.59, 1 Th 3.55, 5 Tm 3.55-3.59
Tm3 0.1844 0.3325 0.3687  2 Th 3.50, 4 Sm 3.51-3.60, 6 Tm 3.54-3.59
Tm4 0.4814 0.6683 0.9628  6 Sm 3.51-3.59, 1 Th 3.55, 5 Tm 3.55-3.59